(1)
Density functional theory data (PBE) for a relaxed structure of Tb2NdNiSn3Ir2.

Properties
final energy: -6.2461 eV/atom

POSCAR file:
```
Tb2NdNiSn3Ir2
1.0
-1.0634 -1.7303 3.3769
3.0554 -6.4638 -2.3499
4.1359 4.9712 3.8497
Ir Nd Ni Sn Tb
2 1 1 3 2
direct
0.5000 0.6705 0.3314
0.5000 0.3314 0.6705
0.0000 0.4093 0.4093
0.0000 0.9972 0.9972
0.5000 0.9979 0.2511
0.5000 0.7503 0.7503
0.5000 0.2511 0.9979
0.0000 0.5920 0.0003
0.0000 0.0003 0.5920
```

---

(2)
Density functional theory data (PBE) for a relaxed structure of DyPdO3.

Properties
final energy: -6.5521 eV/atom

POSCAR file:
```
DyPdO3
1.0
-2.4864 1.7809 2.4106
-2.8720 -2.3113 -1.2547
0.9368 -2.8193 3.0491
Dy O Pd
1 3 1
direct
0.0000 0.0000 0.9530
0.5000 0.5000 0.0760
0.5000 0.0000 0.6524
0.0000 0.5000 0.6524
0.5000 0.5000 0.5662
```